The following is a DFT calculation (PBE) of a relaxed structure of Ca3Sb2Au9.

abc: 4.4274 8.9079 8.9079
angles: 71.49 75.61 75.61
Closest atoms and distances in Å follow each position.
Atoms (fractional coordinates):
Ca 0.0000 0.0000 0.0000  12 Au 3.34-3.72
Ca 0.7112 0.2888 0.2888  8 Au 3.17-3.19, 2 Sb 3.53
Ca 0.2888 0.7112 0.7112  8 Au 3.17-3.19, 2 Sb 3.53
Sb 0.5000 0.3069 0.6931  8 Au 2.81-3.01
Sb 0.5000 0.6931 0.3069  8 Au 2.81-3.01
Au 0.0000 0.5000 0.5000  4 Au 2.92, 4 Sb 2.99
Au 0.6535 0.9759 0.7172  4 Au 2.69-2.83, 1 Sb 2.81
Au 0.3465 0.0241 0.2828  4 Au 2.69-2.83, 1 Sb 2.81
Au 0.6535 0.7172 0.9759  4 Au 2.69-2.83, 1 Sb 2.81
Au 0.3465 0.2828 0.0241  4 Au 2.69-2.83, 1 Sb 2.81
Au 0.8519 0.8494 0.4468  4 Au 2.83-2.92, 2 Sb 3.01, 2 Ca 3.17
Au 0.1481 0.1506 0.5532  4 Au 2.83-2.92, 2 Sb 3.01, 2 Ca 3.17
Au 0.8519 0.4468 0.8494  4 Au 2.83-2.92, 2 Sb 3.01, 2 Ca 3.17
Au 0.1481 0.5532 0.1506  4 Au 2.83-2.92, 2 Sb 3.01, 2 Ca 3.17

Computed properties:
- Fermi-level density of states: 0.34 states/eV/atom
- E_form (uncorrected): -45 kJ/mol of atoms